Density functional theory data (GGA-PBE) for Pm2Ge3Pt6 after structural relaxation.

Unit cell a=7.4852 b=7.4852 c=4.3441 alpha=90.00 beta=90.00 gamma=120.00
Space group P-62m (No. 189)
Unique sites:
1 Pm 0.3333 0.6667 0.0000 x2
2 Ge 0.0000 0.3702 0.5000 x3
3 Pt 0.0000 0.2118 0.0000 x3
4 Pt 0.0000 0.6937 0.5000 x3

E_form	-0.841	eV per atom
calculated density	13.222	g cm⁻³
E	-6.2587	eV per atom
N(E_F)	5.73	states/eV/cell
crystal system	hexagonal


Density functional theory data (GGA-PBE) for TcNi2HAu after structural relaxation.

Unit cell a=3.9185 b=3.9185 c=3.7505 alpha=90.00 beta=90.00 gamma=90.00
Space group P4/mmm (No. 123)
Unique sites:
1 Tc 0.0000 0.0000 0.0000 x1
2 Ni 0.0000 0.5000 0.5000 x2
3 H 0.0000 0.0000 0.5000 x1
4 Au 0.5000 0.5000 0.0000 x1

calculated density	11.919	g cm⁻³
E	-5.4822	eV per atom
N(E_F)	6.34	states/eV/cell
crystal system	tetragonal


Density functional theory data (GGA-PBE) for PrCuPb2S4 after structural relaxation.

Unit cell a=3.9973 b=13.1633 c=14.6676 alpha=90.00 beta=90.00 gamma=90.00
Space group Cmcm (No. 63)
Unique sites:
1 Pr 0.0000 0.1085 0.2500 x4
2 Cu 0.0000 0.1622 0.7500 x4
3 Pb 0.0000 0.3644 0.0578 x8
4 S 0.0000 0.0000 0.0000 x4
5 S 0.0000 0.2914 0.6360 x8
6 S 0.0000 0.4427 0.2500 x4

calculated density	6.430	g cm⁻³
E	-4.9850	eV per atom
crystal system	orthorhombic
formation energy from raw total energies	-885	meV per atom


Which value of calculated density does entry 3 give?
6.430 g cm⁻³


Number 1 is which compound?
Pm2Ge3Pt6